First-principles (PBE) data for a geometry-optimized Al2Ge2Sb structure, as listed in the Alexandria database.

The density of states at the Fermi level comes out at 2.3 states/eV/f.u. The calculation puts the raw formation energy at 15.6 kJ/mol of atoms. The value obtained for the spin magnetization is 0.00 μB per cell. Its relative energy among the computed polymorphs is 0.000 eV per atom.

The structure belongs to space group P4/mbm (No. 127); the cell edges are 8.0468, 8.0468 and 3.0591 Å and the angles 90.00°, 90.00° and 90.00°. The asymmetric unit holds Al at (0.1511, 0.3489, 0.0000), Ge at (0.1435, 0.6435, 0.5000) and Sb at (0.0000, 0.0000, 0.0000).